A relaxed structure of LiMnFe2. Source: Alexandria via LeMat-Bulk, functional PBE.

```
LiMnFe2
1.0
2.495 0.000 0.000
0.000 2.495 0.000
0.000 0.000 7.656
Li Mn Fe
1 1 2
Direct
0.000 0.000 0.000
0.000 0.000 0.500
0.500 0.500 0.275
0.500 0.500 0.725
```

## Properties
ΔH_f (0 K), eV per atom: 0.238
Distance to the lowest polymorph of the same formula, eV per atom: 0.033

A relaxed structure of Co2PdPt4. Source: Alexandria via LeMat-Bulk, functional PBE.

```
Co2PdPt4
1.0
0.000 6.104 6.104
6.104 0.000 6.104
6.104 6.104 0.000
Co Pd Pt
8 4 16
Direct
0.234 0.755 0.755
0.245 0.245 0.245
0.245 0.245 0.766
0.245 0.766 0.245
0.755 0.234 0.755
0.755 0.755 0.234
0.755 0.755 0.755
0.766 0.245 0.245
0.000 0.500 0.500
0.500 0.000 0.500
0.500 0.500 0.000
0.500 0.500 0.500
0.000 0.000 0.000
0.000 0.000 0.500
0.000 0.500 0.000
0.126 0.126 0.624
0.126 0.624 0.126
0.126 0.624 0.624
0.376 0.376 0.874
0.376 0.874 0.376
0.376 0.874 0.874
0.500 0.000 0.000
0.624 0.126 0.126
0.624 0.126 0.624
0.624 0.624 0.126
0.874 0.376 0.376
0.874 0.376 0.874
0.874 0.874 0.376
```

## Properties
ΔH_f (0 K), eV per atom: 0.263

A relaxed structure of LaYPb4. Source: Alexandria via LeMat-Bulk, functional PBE.

```
LaYPb4
1.0
0.000 4.573 4.573
4.573 0.000 4.573
4.573 4.573 0.000
La Y Pb
1 1 4
Direct
0.000 0.000 0.000
0.250 0.250 0.250
0.126 0.625 0.625
0.625 0.126 0.625
0.625 0.625 0.126
0.625 0.625 0.625
```

## Properties
ΔH_f (0 K), eV per atom: -0.176

A relaxed structure of Li3ZnRu. Source: Alexandria via LeMat-Bulk, functional PBE.

```
Li3ZnRu
1.0
4.415 0.000 0.000
0.000 4.415 0.000
0.000 0.000 4.415
Li Zn Ru
3 1 1
Direct
0.000 0.000 0.500
0.000 0.500 0.000
0.500 0.000 0.000
0.000 0.000 0.000
0.500 0.500 0.500
```

## Properties
ΔH_f (0 K), eV per atom: 0.801
Distance to the lowest polymorph of the same formula, eV per atom: 0.000

A relaxed structure of Cs3Si. Source: Alexandria via LeMat-Bulk, functional PBE.

```
Cs3Si
1.0
9.547 0.000 0.000
-4.773 8.268 0.000
0.000 0.000 5.921
Cs Si
6 2
Direct
0.191 0.382 0.250
0.191 0.809 0.250
0.382 0.191 0.750
0.618 0.809 0.250
0.809 0.191 0.750
0.809 0.618 0.750
0.333 0.667 0.750
0.667 0.333 0.250
```

## Properties
Formation energy without anion corrections, eV per atom: 0.359

A relaxed structure of AlZn3Ga3. Source: Alexandria via LeMat-Bulk, functional PBE.

```
AlZn3Ga3
1.0
3.683 2.126 5.045
-3.683 2.126 5.045
0.000 -4.253 5.045
Al Zn Ga
2 6 6
Direct
0.242 0.242 0.242
0.758 0.758 0.758
0.031 0.318 0.899
0.101 0.969 0.682
0.318 0.899 0.031
0.682 0.101 0.969
0.899 0.031 0.318
0.969 0.682 0.101
0.174 0.609 0.458
0.391 0.542 0.826
0.458 0.174 0.609
0.542 0.826 0.391
0.609 0.458 0.174
0.826 0.391 0.542
```

## Properties
ΔH_f (0 K), eV per atom: 0.045
Distance to the lowest polymorph of the same formula, eV per atom: 0.000

What did the fifth record say?
A relaxed structure of Cs3Si. Source: Alexandria via LeMat-Bulk, functional PBE.

```
Cs3Si
1.0
9.547 0.000 0.000
-4.773 8.268 0.000
0.000 0.000 5.921
Cs Si
6 2
Direct
0.191 0.382 0.250
0.191 0.809 0.250
0.382 0.191 0.750
0.618 0.809 0.250
0.809 0.191 0.750
0.809 0.618 0.750
0.333 0.667 0.750
0.667 0.333 0.250
```

## Properties
Formation energy without anion corrections, eV per atom: 0.359

> Which formula does entry 1 have?

LiMnFe2